6
Lattice="2.943 0.000 0.000 1.471 4.169 0.197 1.471 1.694 6.384" Properties=species:S:1:pos:R:3 comment="ReBW | Alexandria via LeMat-Bulk | PBE-GGA | optimized geometry" polymorph_energy_mev_per_atom=362 pbc="T T T"
Re 1.471 2.296 1.245
Re 4.414 3.567 5.336
W 2.943 1.754 3.857
W 2.943 4.108 2.724
B 2.943 0.521 0.766
B 2.943 5.342 5.815

***

11
Lattice="-3.051 -0.431 3.079 -3.973 -5.971 -4.772 6.050 -2.341 5.667" Properties=species:S:1:pos:R:3 comment="NdMg6Sn4 | Alexandria via LeMat-Bulk | PBE-GGA | optimized geometry" dft_energy_ev_per_cell=-32.74 pbc="T T T"
Mg 0.667 -4.291 0.060
Mg 0.933 -5.655 3.214
Mg -1.684 -3.381 -2.142
Mg 2.509 -3.286 5.107
Mg 0.109 -2.358 2.859
Mg -0.877 -6.611 -1.794
Nd 0.000 0.000 0.000
Sn 2.709 -3.551 2.187
Sn -3.697 -5.534 -1.357
Sn -0.908 -6.613 1.256
Sn -1.866 -2.782 0.843